Record 1
{"formula": "ScCo12B4", "functional": "GGA-PBE", "state": "relaxed", "lattice_angstrom": [[-3.571, 3.571, 3.571], [3.571, -3.571, 3.571], [3.571, 3.571, -3.571]], "species": ["Sc", "Co", "Co", "Co", "Co", "Co", "Co", "Co", "Co", "Co", "Co", "Co", "Co", "B", "B", "B", "B"], "fractional_positions": [[0.000, 0.000, 0.000], [0.167, 0.337, 0.830], [0.170, 0.508, 0.337], [0.170, 0.833, 0.663], [0.337, 0.170, 0.508], [0.337, 0.830, 0.167], [0.492, 0.663, 0.830], [0.508, 0.337, 0.170], [0.663, 0.170, 0.833], [0.663, 0.830, 0.492], [0.830, 0.167, 0.337], [0.830, 0.492, 0.663], [0.833, 0.663, 0.170], [0.000, 0.000, 0.500], [0.000, 0.500, 0.000], [0.500, 0.000, 0.000], [0.500, 0.500, 0.500]], "ef_ev_per_atom": 0.044, "sg": "No. 204"}


Record 2
{"formula": "ScCo4B4", "functional": "GGA-PBE", "state": "relaxed", "lattice_angstrom": [[4.945, 0.000, 0.000], [0.000, 4.945, 0.000], [0.000, 0.000, 6.837]], "species": ["Sc", "Sc", "Co", "Co", "Co", "Co", "Co", "Co", "Co", "Co", "B", "B", "B", "B", "B", "B", "B", "B"], "fractional_positions": [[0.250, 0.750, 0.250], [0.750, 0.250, 0.750], [0.003, 0.750, 0.611], [0.250, 0.503, 0.889], [0.250, 0.997, 0.889], [0.497, 0.750, 0.611], [0.503, 0.250, 0.389], [0.750, 0.003, 0.111], [0.750, 0.497, 0.111], [0.997, 0.250, 0.389], [0.074, 0.250, 0.093], [0.250, 0.074, 0.593], [0.250, 0.426, 0.593], [0.426, 0.250, 0.093], [0.574, 0.750, 0.907], [0.750, 0.574, 0.407], [0.750, 0.926, 0.407], [0.926, 0.750, 0.907]], "ef_ev_per_atom": -0.515, "sg": "No. 137", "polymorph_energy_kj_per_mol_fu": 0}


Record 3
{"formula": "Sc3CoB", "functional": "GGA-PBE", "state": "relaxed", "lattice_angstrom": [[4.580, 0.000, 0.000], [0.000, 4.580, 0.000], [0.000, 0.000, 4.580]], "species": ["Sc", "Sc", "Sc", "Co", "B"], "fractional_positions": [[0.000, 0.000, 0.500], [0.000, 0.500, 0.000], [0.500, 0.000, 0.000], [0.500, 0.500, 0.500], [0.000, 0.000, 0.000]], "ef_ev_per_atom": 0.146, "sg": "No. 221", "polymorph_energy_kj_per_mol_fu": 0}